Compound: USiTe
Source: OQMD via LeMat-Bulk
Functional: PBE
Structure: optimized geometry

Properties
The calculation puts the raw total energy at -6.441 eV/atom.

a = 6.866 Å, b = 6.866 Å, c = 6.866 Å
α = 90.00°, β = 90.00°, γ = 90.00°
Space group F-43m (No. 216)
Unique sites:
1 U 0.000 0.000 0.000 x4
2 Si 0.250 0.250 0.750 x4
3 Te 0.250 0.250 0.250 x4

---

Compound: USiTe
Source: OQMD via LeMat-Bulk
Functional: PBE
Structure: optimized geometry

Properties
The calculation puts the raw total energy at -6.354 eV/atom.

a = 6.699 Å, b = 6.699 Å, c = 6.699 Å
α = 90.00°, β = 90.00°, γ = 90.00°
Space group F-43m (No. 216)
Unique sites:
1 U 0.000 0.000 0.000 x4
2 Si 0.250 0.250 0.750 x4
3 Te 0.000 0.000 0.500 x4

---

Compound: ZnSiTe
Source: OQMD via LeMat-Bulk
Functional: PBE
Structure: optimized geometry

Properties
The calculation puts the raw total energy at -2.846 eV/atom. The calculation puts the energy above the most stable polymorph in this dataset at 0 meV per atom.

a = 6.624 Å, b = 6.624 Å, c = 6.624 Å
α = 90.00°, β = 90.00°, γ = 90.00°
Space group F-43m (No. 216)
Unique sites:
1 Zn 0.000 0.000 0.000 x4
2 Si 0.250 0.250 0.750 x4
3 Te 0.000 0.000 0.500 x4

---

Compound: ZnSi2Te
Source: OQMD via LeMat-Bulk
Functional: PBE
Structure: optimized geometry

Properties
The calculation puts the raw total energy at -3.244 eV/atom.

a = 6.741 Å, b = 6.741 Å, c = 6.741 Å
α = 90.00°, β = 90.00°, γ = 90.00°
Space group F-43m (No. 216)
Unique sites:
1 Zn 0.000 0.000 0.000 x4
2 Si 0.000 0.000 0.500 x4
3 Si 0.250 0.250 0.250 x4
4 Te 0.250 0.250 0.750 x4

---

Compound: ZnSiTe
Source: OQMD via LeMat-Bulk
Functional: PBE
Structure: optimized geometry

Properties
The calculation puts the raw total energy at -2.693 eV/atom. The calculation puts the energy above the most stable polymorph in this dataset at 153 meV per atom.

a = 6.771 Å, b = 6.771 Å, c = 6.771 Å
α = 90.00°, β = 90.00°, γ = 90.00°
Space group F-43m (No. 216)
Unique sites:
1 Zn 0.000 0.000 0.000 x4
2 Si 0.000 0.000 0.500 x4
3 Te 0.250 0.250 0.750 x4

---

Compound: Zn6Si2Te
Source: OQMD via LeMat-Bulk
Functional: PBE
Structure: optimized geometry

Properties
The calculation puts the raw total energy at -1.924 eV/atom.

a = 8.876 Å, b = 8.876 Å, c = 8.876 Å
α = 90.00°, β = 90.00°, γ = 90.00°
Space group Fm-3m (No. 225)
Unique sites:
1 Zn 0.000 0.000 0.205 x24
2 Si 0.250 0.250 0.250 x8
3 Te 0.000 0.000 0.500 x4

---

Compound: ZrSi2Te
Source: OQMD via LeMat-Bulk
Functional: PBE
Structure: optimized geometry

Properties
The calculation puts the raw total energy at -5.352 eV/atom.

a = 6.886 Å, b = 6.886 Å, c = 6.886 Å
α = 90.00°, β = 90.00°, γ = 90.00°
Space group F-43m (No. 216)
Unique sites:
1 Zr 0.000 0.000 0.000 x4
2 Si 0.000 0.000 0.500 x4
3 Si 0.250 0.250 0.750 x4
4 Te 0.250 0.250 0.250 x4

---

Compound: ZrSiTe
Source: OQMD via LeMat-Bulk
Functional: PBE
Structure: optimized geometry

Properties
The calculation puts the raw total energy at -5.543 eV/atom. The calculation puts the energy above the most stable polymorph in this dataset at 0 meV per atom.

a = 6.592 Å, b = 6.592 Å, c = 6.592 Å
α = 90.00°, β = 90.00°, γ = 90.00°
Space group F-43m (No. 216)
Unique sites:
1 Zr 0.000 0.000 0.000 x4
2 Si 0.250 0.250 0.750 x4
3 Te 0.000 0.000 0.500 x4